A plane-wave DFT calculation with PBE was carried out for a relaxed structure of BeIn2Re.

Lattice parameters (Å, degrees): 4.5965 4.5965 4.5965 60.00 60.00 60.00
Closest atoms and distances in Å follow each position.
Atoms (fractional coordinates):
Be  0.0000  0.0000  0.0000  4 Re 2.81, 4 In 2.81
In  0.2500  0.2500  0.2500  4 In 2.81, 4 Be 2.81
In  0.5000  0.5000  0.5000  4 Re 2.81, 4 In 2.81
Re  0.7500  0.7500  0.7500  4 In 2.81, 4 Be 2.81

Values from the calculation:
Energy of formation ... 0.88 eV/atom
Total energy ... -4.536 eV per atom


A plane-wave DFT calculation with PBE was carried out for a relaxed structure of Be2InRe.

Lattice parameters (Å, degrees): 4.4386 4.4386 4.5699 102.52 102.52 42.53
Closest atoms and distances in Å follow each position.
Atoms (fractional coordinates):
Be  0.2129  0.2129  0.1057  2 Be 2.04
Be  0.7871  0.7871  0.8943  2 Be 2.04
In  0.0000  0.0000  0.5000  4 Re 2.80, 8 Be 2.80-3.08
Re  0.5000  0.5000  0.0000  6 Be 2.35-2.53

Values from the calculation:
Energy of formation ... 0.33 eV/atom
Total energy ... -5.329 eV per atom


A plane-wave DFT calculation with PBE was carried out for a relaxed structure of BeIn3Re.

Lattice parameters (Å, degrees): 5.2404 5.2404 5.2404 90.00 90.00 90.00
Closest atoms and distances in Å follow each position.
Atoms (fractional coordinates):
Be  0.0000  0.0000  0.0000  12 In 3.71
In  0.0000  0.5000  0.5000  2 Re 2.62
In  0.5000  0.0000  0.5000  2 Re 2.62
In  0.5000  0.5000  0.0000  2 Re 2.62
Re  0.5000  0.5000  0.5000  6 In 2.62

Values from the calculation:
Energy of formation ... 1.03 eV/atom
Total energy ... -3.849 eV per atom
ΔE to the lowest computed polymorph ... 0 meV/atom


A plane-wave DFT calculation with PBE was carried out for a relaxed structure of Be2InRe.

Lattice parameters (Å, degrees): 4.6378 4.6378 4.6378 134.98 128.33 70.91
Closest atoms and distances in Å follow each position.
Atoms (fractional coordinates):
Be  0.2408  0.2408  0.0000  4 Re 2.54-2.81, 4 In 2.64-2.72, 4 Be 2.69
Be  0.7592  0.7592  0.0000  4 Re 2.54-2.81, 4 In 2.64-2.72, 4 Be 2.69
In  0.5000  0.0000  0.5000  8 Be 2.64-2.72, 4 Re 2.69
Re  0.0000  0.5000  0.5000  8 Be 2.54-2.81, 4 In 2.69

Values from the calculation:
Energy of formation ... 0.47 eV/atom
Total energy ... -5.187 eV per atom


A plane-wave DFT calculation with PBE was carried out for a relaxed structure of BeIn2Re.

Lattice parameters (Å, degrees): 3.6356 3.9261 5.3619 90.00 109.73 90.00
Closest atoms and distances in Å follow each position.
Atoms (fractional coordinates):
Be  0.0000  0.0000  0.0000  2 Re 2.31
In  0.2909  0.0000  0.5810  3 Be 2.79-2.93, 4 Re 2.82
In  0.5936  0.5000  0.1903  4 Be 2.84-2.85, 3 Re 2.84-2.86
Re  0.8783  0.5000  0.7573  2 Be 2.31

Values from the calculation:
Energy of formation ... 0.41 eV/atom
Total energy ... -5.005 eV per atom


A plane-wave DFT calculation with PBE was carried out for a relaxed structure of Be2InRe.

Lattice parameters (Å, degrees): 5.3399 5.3399 5.3399 104.76 104.76 119.36
Closest atoms and distances in Å follow each position.
Atoms (fractional coordinates):
Be  0.1048  0.6250  0.9798  2 Re 2.31, 2 In 2.49
Be  0.3750  0.3548  0.4798  2 Re 2.31, 2 In 2.49
Be  0.6452  0.1250  0.0202  2 Re 2.31, 2 In 2.49
Be  0.8750  0.8952  0.5202  2 Re 2.31, 2 In 2.49
In  0.2500  0.7500  0.5000  4 Be 2.49, 2 Re 2.70
In  0.5000  0.5000  0.0000  4 Be 2.49, 2 Re 2.70
Re  0.0000  0.0000  0.0000  4 Be 2.31
Re  0.7500  0.2500  0.5000  4 Be 2.31

Values from the calculation:
Energy of formation ... 0.71 eV/atom
Total energy ... -4.947 eV per atom


A plane-wave DFT calculation with PBE was carried out for a relaxed structure of BeIn2Re.

Lattice parameters (Å, degrees): 5.8379 5.8379 5.8379 101.71 101.71 126.46
Closest atoms and distances in Å follow each position.
Atoms (fractional coordinates):
Be  0.0000  0.0000  0.0000  4 In 2.47, 2 Re 2.63
Be  0.7500  0.2500  0.5000  4 In 2.47, 2 Re 2.63
In  0.0789  0.1250  0.4539  2 Be 2.47, 2 In 2.72
In  0.3750  0.9211  0.0461  2 Be 2.47, 2 In 2.72
In  0.6711  0.6250  0.5461  2 Be 2.47, 2 In 2.72
In  0.8750  0.3289  0.9539  2 Be 2.47, 2 In 2.72
Re  0.2500  0.7500  0.5000  2 Be 2.63, 4 In 2.93
Re  0.5000  0.5000  0.0000  2 Be 2.63, 4 In 2.93

Values from the calculation:
Energy of formation ... 0.97 eV/atom
Total energy ... -4.439 eV per atom


A plane-wave DFT calculation with PBE was carried out for a relaxed structure of Be2InRe.

Lattice parameters (Å, degrees): 3.9978 3.9978 3.2507 90.00 90.00 90.00
Closest atoms and distances in Å follow each position.
Atoms (fractional coordinates):
Be  0.0000  0.5000  0.0000  4 In 2.58, 4 Re 2.58, 4 Be 2.83
Be  0.5000  0.0000  0.0000  4 In 2.58, 4 Re 2.58, 4 Be 2.83
In  0.0000  0.0000  0.5000  8 Be 2.58, 4 Re 2.83
Re  0.5000  0.5000  0.5000  8 Be 2.58, 4 In 2.83

Values from the calculation:
Energy of formation ... 0.33 eV/atom
Total energy ... -5.329 eV per atom


- What is the formula in the third record?
  BeIn3Re